This record from OQMD describes a relaxed structure of HfP2H6O10. The functional is PBE.

Cell lengths 5.2700, 6.5080, 11.8347 Å; angles 90.00, 99.73, 90.00 degrees
Sites, in units of the cell vectors:
Hf: 0.1841 0.0000 0.3660
Hf: 0.8159 0.5000 0.6340
P: 0.2545 0.5002 0.4407
P: 0.3659 0.4061 0.8168
P: 0.6341 0.9061 0.1832
P: 0.7455 0.0002 0.5593
H: 0.0268 0.9093 0.0920
H: 0.0470 0.3437 0.0380
H: 0.1358 0.5956 0.1139
H: 0.1686 0.4349 0.2194
H: 0.3566 0.9156 0.0288
H: 0.4976 0.5799 0.1765
H: 0.5024 0.0799 0.8235
H: 0.6434 0.4156 0.9712
H: 0.8314 0.9349 0.7806
H: 0.8642 0.0956 0.8861
H: 0.9530 0.8437 0.9620
H: 0.9732 0.4093 0.9080
O: 0.0851 0.8215 0.0328
O: 0.0932 0.4946 0.7861
O: 0.0985 0.4952 0.5387
O: 0.1853 0.3150 0.3597
O: 0.1872 0.6892 0.3648
O: 0.2267 0.4689 0.1463
O: 0.3379 0.1669 0.8058
O: 0.4509 0.9915 0.2583
O: 0.4570 0.9987 0.5096
O: 0.4605 0.4704 0.9444
O: 0.5395 0.9704 0.0556
O: 0.5430 0.4987 0.4904
O: 0.5491 0.4915 0.7417
O: 0.6621 0.6669 0.1942
O: 0.7733 0.9689 0.8537
O: 0.8128 0.1892 0.6352
O: 0.8147 0.8150 0.6403
O: 0.9015 0.9952 0.4613
O: 0.9068 0.9946 0.2139
O: 0.9149 0.3215 0.9672

Summary:
Calculated total energy: -6.659 eV per atom
Volume: 200 Å³/f.u.
SG: P2_1 (4)

This record from OQMD describes a relaxed structure of DyErB4N. The functional is PBE.

Cell lengths 5.1771, 5.1771, 5.1771 Å; angles 143.50, 103.31, 88.05 degrees
Sites, in units of the cell vectors:
Dy: 0.0000 0.0000 0.0000
Er: 0.5324 0.5324 0.0000
B: 0.1287 0.7681 0.3606
B: 0.4074 0.7681 0.6394
B: 0.5383 0.2669 0.2714
B: 0.9955 0.2669 0.7286
N: 0.7636 0.2636 0.5000

Summary:
Calculated total energy: -7.149 eV per atom
Volume: 78 Å³/f.u.
SG: Imm2 (44)

This record from OQMD describes a relaxed structure of ZnTe. The functional is PBE.

Cell lengths 4.0908, 4.0908, 4.0908 Å; angles 60.48, 60.48, 60.48 degrees
Sites, in units of the cell vectors:
Zn: 0.0000 0.0000 0.0000
Te: 0.5249 0.5249 0.5249

Summary:
Calculated total energy: -2.373 eV per atom
Volume: 49 Å³/f.u.
SG: R3m (160)

This record from OQMD describes a relaxed structure of Zr2ZnCo2. The functional is PBE.

Cell lengths 6.8894, 6.8894, 3.3725 Å; angles 90.00, 90.00, 90.00 degrees
Sites, in units of the cell vectors:
Zr: 0.1741 0.3259 0.0000
Zr: 0.3259 0.8259 0.0000
Zr: 0.6741 0.1741 0.0000
Zr: 0.8259 0.6741 0.0000
Zn: 0.0000 0.0000 0.5000
Zn: 0.5000 0.5000 0.5000
Co: 0.1272 0.6272 0.5000
Co: 0.3728 0.1272 0.5000
Co: 0.6272 0.8728 0.5000
Co: 0.8728 0.3728 0.5000

Summary:
Calculated total energy: -6.814 eV per atom
Formation energy: -1.5 eV per formula unit
Volume: 80 Å³/f.u.
SG: P4/mbm (127)

This record from OQMD describes a relaxed structure of RbErTe3Pt. The functional is PBE.

Cell lengths 9.2787, 9.2787, 10.4734 Å; angles 90.00, 90.00, 153.60 degrees
Sites, in units of the cell vectors:
Rb: 0.2474 0.7526 0.7500
Rb: 0.7526 0.2474 0.2500
Er: 0.0000 0.0000 0.0000
Er: 0.0000 0.0000 0.5000
Te: 0.0851 0.9149 0.2500
Te: 0.3848 0.6152 0.0742
Te: 0.3848 0.6152 0.4258
Te: 0.6152 0.3848 0.5742
Te: 0.6152 0.3848 0.9258
Te: 0.9149 0.0851 0.7500
Pt: 0.4914 0.5086 0.2500
Pt: 0.5086 0.4914 0.7500

Summary:
Calculated total energy: -4.432 eV per atom
Volume: 200 Å³/f.u.
SG: Cmcm (63)

This record from OQMD describes a relaxed structure of Rb2NdScO4. The functional is PBE.

Cell lengths 3.4444, 3.4444, 12.8928 Å; angles 90.00, 90.00, 120.00 degrees
Sites, in units of the cell vectors:
Rb: 0.3333 0.6667 0.2591
Rb: 0.6667 0.3333 0.7409
Nd: 0.0000 0.0000 0.0000
Sc: 0.0000 0.0000 0.5000
O: 0.3333 0.6667 0.5794
O: 0.3333 0.6667 0.9006
O: 0.6667 0.3333 0.0994
O: 0.6667 0.3333 0.4206

Summary:
Calculated total energy: -6.637 eV per atom
Volume: 132 Å³/f.u.
SG: P-3m1 (164)

This record from OQMD describes a relaxed structure of ThZr2Te2. The functional is PBE.

Cell lengths 8.2213, 8.2213, 8.2213 Å; angles 150.86, 150.86, 41.68 degrees
Sites, in units of the cell vectors:
Th: 0.0000 0.0000 0.0000
Zr: 0.2500 0.7500 0.5000
Zr: 0.7500 0.2500 0.5000
Te: 0.3906 0.3906 0.0000
Te: 0.6094 0.6094 0.0000

Summary:
Calculated total energy: -6.780 eV per atom
Volume: 131 Å³/f.u.
SG: I4/mmm (139)

This record from OQMD describes a relaxed structure of LuMgCoPb. The functional is PBE.

Cell lengths 4.8827, 4.8827, 4.8827 Å; angles 60.00, 60.00, 60.00 degrees
Sites, in units of the cell vectors:
Lu: 0.0000 0.0000 0.0000
Mg: 0.5000 0.5000 0.5000
Co: 0.2500 0.2500 0.2500
Pb: 0.7500 0.7500 0.7500

Summary:
Calculated total energy: -4.183 eV per atom
Energy above the lowest structure with this stoichiometry: 3.2 kJ/mol of formula units
Volume: 82 Å³/f.u.
SG: F-43m (216)

This record from OQMD describes a relaxed structure of GaFeNiIr. The functional is PBE.

Cell lengths 4.1776, 4.1776, 4.1776 Å; angles 60.00, 60.00, 60.00 degrees
Sites, in units of the cell vectors:
Ga: 0.0000 0.0000 0.0000
Fe: 0.2500 0.2500 0.2500
Ni: 0.7500 0.7500 0.7500
Ir: 0.5000 0.5000 0.5000

Summary:
Calculated total energy: -6.536 eV per atom
Energy above the lowest structure with this stoichiometry: 17.6 kJ/mol of formula units
Volume: 52 Å³/f.u.
SG: F-43m (216)

This record from OQMD describes a relaxed structure of K2NaTcF6. The functional is PBE.

Cell lengths 5.8949, 5.7571, 10.1229 Å; angles 90.00, 125.26, 90.00 degrees
Sites, in units of the cell vectors:
K: 0.2423 0.0394 0.2473
K: 0.2423 0.4606 0.7473
K: 0.7577 0.5394 0.2527
K: 0.7577 0.9606 0.7527
Na: 0.5000 0.0000 0.0000
Na: 0.5000 0.5000 0.5000
Tc: 0.0000 0.0000 0.5000
Tc: 0.0000 0.5000 0.0000
F: 0.1691 0.2218 0.9638
F: 0.1691 0.2782 0.4638
F: 0.2550 0.6975 0.9735
F: 0.2550 0.8025 0.4735
F: 0.3016 0.5097 0.2405
F: 0.3016 0.9903 0.7405
F: 0.6984 0.0097 0.2595
F: 0.6984 0.4903 0.7595
F: 0.7450 0.1975 0.5265
F: 0.7450 0.3025 0.0265
F: 0.8309 0.7218 0.5362
F: 0.8309 0.7782 0.0362

Summary:
Calculated total energy: -4.955 eV per atom
Energy above the lowest structure with this stoichiometry: 0.0 kJ/mol of formula units
Volume: 140 Å³/f.u.
SG: P2_1/c (14)

This record from OQMD describes a relaxed structure of LuZnFeHg. The functional is PBE.

Cell lengths 4.7173, 4.7173, 4.7173 Å; angles 60.00, 60.00, 60.00 degrees
Sites, in units of the cell vectors:
Lu: 0.0000 0.0000 0.0000
Zn: 0.5000 0.5000 0.5000
Fe: 0.7500 0.7500 0.7500
Hg: 0.2500 0.2500 0.2500

Summary:
Calculated total energy: -3.512 eV per atom
Energy above the lowest structure with this stoichiometry: 29.0 kJ/mol of formula units
Formation energy: 0.3 eV per formula unit
Volume: 74 Å³/f.u.
SG: F-43m (216)

This record from OQMD describes a relaxed structure of TmOsPd. The functional is PBE.

Cell lengths 4.4602, 4.4602, 4.4602 Å; angles 60.00, 60.00, 60.00 degrees
Sites, in units of the cell vectors:
Tm: 0.0000 0.0000 0.0000
Os: 0.7500 0.7500 0.7500
Pd: 0.2500 0.2500 0.2500

Summary:
Calculated total energy: -6.288 eV per atom
Energy above the lowest structure with this stoichiometry: 107.9 kJ/mol of formula units
Formation energy: 2.0 eV per formula unit
Volume: 63 Å³/f.u.
SG: F-43m (216)

This record from OQMD describes a relaxed structure of HfNpPa. The functional is PBE.

Cell lengths 4.6781, 4.6781, 4.6781 Å; angles 60.00, 60.00, 60.00 degrees
Sites, in units of the cell vectors:
Hf: 0.0000 0.0000 0.0000
Np: 0.2500 0.2500 0.2500
Pa: 0.5000 0.5000 0.5000

Summary:
Calculated total energy: -9.803 eV per atom
Energy above the lowest structure with this stoichiometry: 0.0 kJ/mol of formula units
Formation energy: 2.8 eV per formula unit
Volume: 72 Å³/f.u.
SG: F-43m (216)

This record from OQMD describes a relaxed structure of SmIn. The functional is PBE.

Cell lengths 3.8220, 3.8220, 3.8220 Å; angles 90.00, 90.00, 90.00 degrees
Sites, in units of the cell vectors:
Sm: 0.0000 0.0000 0.0000
In: 0.5000 0.5000 0.5000

Summary:
Calculated total energy: -4.218 eV per atom
Volume: 56 Å³/f.u.
SG: Pm-3m (221)

This record from OQMD describes a relaxed structure of SmDyEr. The functional is PBE.

Cell lengths 5.4189, 5.4189, 5.4189 Å; angles 60.00, 60.00, 60.00 degrees
Sites, in units of the cell vectors:
Sm: 0.0000 0.0000 0.0000
Dy: 0.5000 0.5000 0.5000
Er: 0.7500 0.7500 0.7500

Summary:
Calculated total energy: -3.913 eV per atom
Energy above the lowest structure with this stoichiometry: 208.0 kJ/mol of formula units
Formation energy: 2.1 eV per formula unit
Volume: 113 Å³/f.u.
SG: F-43m (216)

This record from OQMD describes a relaxed structure of YZn2Tc. The functional is PBE.

Cell lengths 4.6511, 4.6511, 4.6511 Å; angles 60.00, 60.00, 60.00 degrees
Sites, in units of the cell vectors:
Y: 0.0000 0.0000 0.0000
Zn: 0.2500 0.2500 0.2500
Zn: 0.5000 0.5000 0.5000
Tc: 0.7500 0.7500 0.7500

Summary:
Calculated total energy: -4.666 eV per atom
Formation energy: 0.7 eV per formula unit
Volume: 71 Å³/f.u.
SG: F-43m (216)

This record from OQMD describes a relaxed structure of YAgHg2. The functional is PBE.

Cell lengths 3.6005, 3.6005, 7.0088 Å; angles 90.00, 90.00, 90.00 degrees
Sites, in units of the cell vectors:
Y: 0.0000 0.0000 0.0000
Ag: 0.0000 0.0000 0.5000
Hg: 0.5000 0.5000 0.2705
Hg: 0.5000 0.5000 0.7295

Summary:
Calculated total energy: -2.731 eV per atom
Formation energy: -1.0 eV per formula unit
Volume: 91 Å³/f.u.
SG: P4/mmm (123)

This record from OQMD describes a relaxed structure of CuSbMoAu. The functional is PBE.

Cell lengths 4.7000, 4.7000, 4.7000 Å; angles 60.00, 60.00, 60.00 degrees
Sites, in units of the cell vectors:
Cu: 0.0000 0.0000 0.0000
Sb: 0.7500 0.7500 0.7500
Mo: 0.2500 0.2500 0.2500
Au: 0.5000 0.5000 0.5000

Summary:
Calculated total energy: -4.908 eV per atom
Energy above the lowest structure with this stoichiometry: 94.7 kJ/mol of formula units
Volume: 73 Å³/f.u.
SG: F-43m (216)

This record from OQMD describes a relaxed structure of RbPa2Se5. The functional is PBE.

Cell lengths 8.5832, 8.5832, 8.5832 Å; angles 150.47, 130.48, 58.72 degrees
Sites, in units of the cell vectors:
Rb: 0.0000 0.0000 0.0000
Pa: 0.3145 0.8145 0.5000
Pa: 0.6855 0.1855 0.5000
Se: 0.0864 0.3423 0.7441
Se: 0.4018 0.6577 0.7441
Se: 0.5000 0.0000 0.5000
Se: 0.5982 0.3423 0.2559
Se: 0.9136 0.6577 0.2559

Summary:
Calculated total energy: -6.067 eV per atom
Volume: 235 Å³/f.u.
SG: Immm (71)

This record from OQMD describes a relaxed structure of RbAgGe. The functional is PBE.

Cell lengths 5.1971, 5.1971, 5.1971 Å; angles 60.00, 60.00, 60.00 degrees
Sites, in units of the cell vectors:
Rb: 0.0000 0.0000 0.0000
Ag: 0.5000 0.5000 0.5000
Ge: 0.7500 0.7500 0.7500

Summary:
Calculated total energy: -2.237 eV per atom
Energy above the lowest structure with this stoichiometry: 12.1 kJ/mol of formula units
Volume: 99 Å³/f.u.
SG: F-43m (216)